{"formula": "Nd2LuBr", "functional": "PBE", "state": "optimized geometry", "dft_energy_ev_per_cell": -17.6, "e_form_raw_ev_per_atom": -0.465, "magmom_total_mub_per_fu": 0.00, "sg": "P4/mmm (123)", "lattice_angstrom": [[3.5750, 0.0000, 0.0000], [0.0000, 3.5750, 0.0000], [0.0000, 0.0000, 9.6186]], "species": ["Lu", "Nd", "Nd", "Br"], "fractional_positions": [[0.5000, 0.5000, 0.0000], [0.0000, 0.0000, 0.7355], [0.0000, 0.0000, 0.2645], [0.5000, 0.5000, 0.5000]]}